No. 1
First-principles (PBE) data for LiPr5Ga4 after structural relaxation, as listed in Alexandria.

a b c (Å): 3.7266 3.7266 19.0376
angles (deg): 90.00 90.00 90.00
Atoms (fractional coordinates):
Li1 0.0000 0.0000 0.0000
Pr1 0.5000 0.5000 0.1121
Pr2 0.5000 0.5000 0.3048
Pr3 0.5000 0.5000 0.5000
Pr4 0.5000 0.5000 0.6952
Pr5 0.5000 0.5000 0.8879
Ga1 0.0000 0.0000 0.2027
Ga2 0.0000 0.0000 0.4020
Ga3 0.0000 0.0000 0.5980
Ga4 0.0000 0.0000 0.7973

Results
The value obtained for the energy of formation from the pure elements is -0.43 eV/atom. The calculation puts the density at 6.22 Mg/m³. As for the total energy: -4.23 eV per atom.

---

No. 2
First-principles (PBE) data for Li3PrGa2 after structural relaxation, as listed in Alexandria.

a b c (Å): 7.3525 7.3525 8.5550
angles (deg): 117.05 117.05 36.64
Atoms (fractional coordinates):
Li1 0.0625 0.0625 0.3889
Li2 0.2898 0.2898 0.4744
Li3 0.4092 0.4092 0.3094
Li4 0.5908 0.5908 0.6906
Li5 0.7102 0.7102 0.5256
Li6 0.9375 0.9375 0.6111
Pr1 0.1355 0.1355 0.0172
Pr2 0.8645 0.8645 0.9828
Ga1 0.2224 0.2224 0.7387
Ga2 0.4435 0.4435 0.8161
Ga3 0.5565 0.5565 0.1839
Ga4 0.7776 0.7776 0.2613

Results
Its offset from the most stable computed form is 0.000 eV/atom. The value obtained for the energy of formation from the pure elements is -0.33 eV/atom. The calculation puts the density at 4.13 Mg/m³. As for the total energy: -3.09 eV per atom.

---

No. 3
First-principles (PBE) data for LiPrGa3 after structural relaxation, as listed in Alexandria.

a b c (Å): 12.4703 12.4703 4.2809
angles (deg): 90.00 90.00 160.66
Atoms (fractional coordinates):
Li1 0.2058 0.7942 0.7500
Li2 0.7942 0.2058 0.2500
Pr1 0.0762 0.9238 0.2500
Pr2 0.9238 0.0762 0.7500
Ga1 0.3163 0.6837 0.7500
Ga2 0.3718 0.6282 0.2500
Ga3 0.4742 0.5258 0.2500
Ga4 0.5258 0.4742 0.7500
Ga5 0.6282 0.3718 0.7500
Ga6 0.6837 0.3163 0.2500

Results
The value obtained for the energy of formation from the pure elements is -0.44 eV/atom. The calculation puts the density at 5.38 Mg/m³. As for the total energy: -3.59 eV per atom.

---

No. 4
First-principles (PBE) data for LiPrGa4 after structural relaxation, as listed in Alexandria.

a b c (Å): 5.5500 5.5500 5.5500
angles (deg): 60.00 60.00 60.00
Atoms (fractional coordinates):
Li1 0.0000 0.0000 0.0000
Pr1 0.7500 0.7500 0.7500
Ga1 0.3750 0.3750 0.3750
Ga2 0.3750 0.3750 0.8750
Ga3 0.3750 0.8750 0.3750
Ga4 0.8750 0.3750 0.3750

Results
The value obtained for the energy of formation from the pure elements is -0.37 eV/atom. The calculation puts the density at 5.86 Mg/m³. As for the total energy: -3.50 eV per atom.

---

No. 5
First-principles (PBE) data for LiPrGa4 after structural relaxation, as listed in Alexandria.

a b c (Å): 5.7439 5.7439 5.7439
angles (deg): 135.82 104.45 91.91
Atoms (fractional coordinates):
Li1 0.0000 0.0000 0.0000
Pr1 0.5000 0.0000 0.5000
Ga1 0.0359 0.3368 0.6991
Ga2 0.3623 0.6632 0.6991
Ga3 0.6377 0.3368 0.3009
Ga4 0.9641 0.6632 0.3009

Results
The value obtained for the energy of formation from the pure elements is -0.45 eV/atom. The calculation puts the density at 5.84 Mg/m³. As for the total energy: -3.58 eV per atom.

---

No. 6
First-principles (PBE) data for Li2Pr7Ga2 after structural relaxation, as listed in Alexandria.

a b c (Å): 6.7429 6.7429 7.9996
angles (deg): 90.00 90.00 111.75
Atoms (fractional coordinates):
Li1 0.2091 0.7909 0.0000
Li2 0.7909 0.2091 0.0000
Pr1 0.0000 0.0000 0.2650
Pr2 0.0000 0.0000 0.7350
Pr3 0.0000 0.5000 0.2983
Pr4 0.0000 0.5000 0.7017
Pr5 0.5000 0.0000 0.2983
Pr6 0.5000 0.0000 0.7017
Pr7 0.5000 0.5000 0.0000
Ga1 0.3318 0.3318 0.5000
Ga2 0.6682 0.6682 0.5000

Results
The value obtained for the energy of formation from the pure elements is 0.10 eV/atom. The calculation puts the density at 5.60 Mg/m³. As for the total energy: -3.84 eV per atom.

---

No. 7
First-principles (PBE) data for LiPr2Ga3Pt4 after structural relaxation, as listed in Alexandria.

a b c (Å): 4.1416 4.1416 11.2187
angles (deg): 90.00 90.00 90.00
Atoms (fractional coordinates):
Li1 0.0000 0.0000 0.0000
Pr1 0.0000 0.5000 0.7505
Pr2 0.5000 0.0000 0.2495
Ga1 0.0000 0.5000 0.3681
Ga2 0.5000 0.0000 0.6319
Ga3 0.5000 0.5000 0.0000
Pt1 0.0000 0.0000 0.5000
Pt2 0.0000 0.5000 0.1413
Pt3 0.5000 0.0000 0.8587
Pt4 0.5000 0.5000 0.5000

Results
The value obtained for the energy of formation from the pure elements is -0.93 eV/atom. The calculation puts the density at 11.03 Mg/m³. As for the total energy: -5.40 eV per atom.

---

No. 8
First-principles (PBE) data for LiPrGaPt2 after structural relaxation, as listed in Alexandria.

a b c (Å): 6.7466 6.7466 6.7466
angles (deg): 145.88 145.88 49.03
Atoms (fractional coordinates):
Li1 0.0000 0.0000 0.0000
Pr1 0.2500 0.7500 0.5000
Ga1 0.5000 0.5000 0.0000
Pt1 0.6367 0.1367 0.5000
Pt2 0.8633 0.3633 0.5000

Results
The value obtained for the energy of formation from the pure elements is -0.90 eV/atom. The calculation puts the density at 10.49 Mg/m³. As for the total energy: -5.26 eV per atom.

---

No. 9
First-principles (PBE) data for LiPrGa2Pt4 after structural relaxation, as listed in Alexandria.

a b c (Å): 8.9778 8.9778 8.9778
angles (deg): 27.77 27.77 27.77
Atoms (fractional coordinates):
Li1 0.0000 0.0000 0.0000
Pr1 0.5000 0.5000 0.5000
Ga1 0.2633 0.2633 0.2633
Ga2 0.7367 0.7367 0.7367
Pt1 0.0948 0.0948 0.0948
Pt2 0.3669 0.3669 0.3669
Pt3 0.6331 0.6331 0.6331
Pt4 0.9052 0.9052 0.9052

Results
The value obtained for the energy of formation from the pure elements is -0.84 eV/atom. The calculation puts the density at 12.78 Mg/m³. As for the total energy: -5.45 eV per atom.

---

No. 10
First-principles (PBE) data for Li2PrGa4Pt after structural relaxation, as listed in Alexandria.

a b c (Å): 9.3537 9.3537 9.3537
angles (deg): 26.65 26.65 26.65
Atoms (fractional coordinates):
Li1 0.2289 0.2289 0.2289
Li2 0.7711 0.7711 0.7711
Pr1 0.0000 0.0000 0.0000
Ga1 0.1264 0.1264 0.1264
Ga2 0.4031 0.4031 0.4031
Ga3 0.5969 0.5969 0.5969
Ga4 0.8736 0.8736 0.8736
Pt1 0.5000 0.5000 0.5000

Results
The value obtained for the energy of formation from the pure elements is -0.54 eV/atom. The calculation puts the density at 7.19 Mg/m³. As for the total energy: -3.88 eV per atom.

---

No. 11
First-principles (PBE) data for LiPrGa2Pt2 after structural relaxation, as listed in Alexandria.

a b c (Å): 4.4008 4.4008 6.7505
angles (deg): 90.00 90.00 120.00
Atoms (fractional coordinates):
Li1 0.0000 0.0000 0.0000
Pr1 0.0000 0.0000 0.5000
Ga1 0.3333 0.6667 0.8218
Ga2 0.6667 0.3333 0.1782
Pt1 0.3333 0.6667 0.2127
Pt2 0.6667 0.3333 0.7873

Results
The value obtained for the energy of formation from the pure elements is -0.89 eV/atom. The calculation puts the density at 9.94 Mg/m³. As for the total energy: -5.03 eV per atom.

---

No. 12
First-principles (PBE) data for LiPrGa2Pt5 after structural relaxation, as listed in Alexandria.

a b c (Å): 4.1461 4.1461 9.6754
angles (deg): 90.00 90.00 90.00
Atoms (fractional coordinates):
Li1 0.0000 0.0000 0.0000
Pr1 0.0000 0.0000 0.5000
Ga1 0.5000 0.5000 0.1277
Ga2 0.5000 0.5000 0.8723
Pt1 0.0000 0.5000 0.2705
Pt2 0.0000 0.5000 0.7295
Pt3 0.5000 0.0000 0.2705
Pt4 0.5000 0.0000 0.7295
Pt5 0.5000 0.5000 0.5000

Results
The value obtained for the energy of formation from the pure elements is -0.68 eV/atom. The calculation puts the density at 12.61 Mg/m³. As for the total energy: -5.45 eV per atom.

---

No. 13
First-principles (PBE) data for LiPr2Ga4Rh3 after structural relaxation, as listed in Alexandria.

a b c (Å): 4.3788 4.3788 9.9533
angles (deg): 90.00 90.00 90.00
Atoms (fractional coordinates):
Li1 0.0000 0.0000 0.0000
Pr1 0.0000 0.5000 0.7518
Pr2 0.5000 0.0000 0.2482
Ga1 0.0000 0.0000 0.5000
Ga2 0.0000 0.5000 0.1237
Ga3 0.5000 0.0000 0.8763
Ga4 0.5000 0.5000 0.5000
Rh1 0.0000 0.5000 0.3727
Rh2 0.5000 0.0000 0.6273
Rh3 0.5000 0.5000 0.0000

Results
The value obtained for the energy of formation from the pure elements is -0.68 eV/atom. The calculation puts the density at 7.63 Mg/m³. As for the total energy: -5.24 eV per atom.

---

No. 14
First-principles (PBE) data for LiPrGa2Rh after structural relaxation, as listed in Alexandria.

a b c (Å): 5.7462 5.7462 5.7462
angles (deg): 134.24 134.24 66.71
Atoms (fractional coordinates):
Li1 0.0000 0.0000 0.0000
Pr1 0.7500 0.2500 0.5000
Ga1 0.1184 0.6184 0.5000
Ga2 0.3816 0.8816 0.5000
Rh1 0.5000 0.5000 0.0000

Results
The value obtained for the energy of formation from the pure elements is -0.56 eV/atom. The calculation puts the density at 6.76 Mg/m³. As for the total energy: -4.58 eV per atom.

---

No. 15
First-principles (PBE) data for Li2PrGa4Ru after structural relaxation, as listed in Alexandria.

a b c (Å): 9.4370 9.4370 9.4370
angles (deg): 26.11 26.11 26.11
Atoms (fractional coordinates):
Li1 0.2287 0.2287 0.2287
Li2 0.7713 0.7713 0.7713
Pr1 0.0000 0.0000 0.0000
Ga1 0.1313 0.1313 0.1313
Ga2 0.4054 0.4054 0.4054
Ga3 0.5946 0.5946 0.5946
Ga4 0.8687 0.8687 0.8687
Ru1 0.5000 0.5000 0.5000

Results
The value obtained for the energy of formation from the pure elements is -0.39 eV/atom. The calculation puts the density at 6.19 Mg/m³. As for the total energy: -4.14 eV per atom.

---

No. 16
First-principles (PBE) data for LiPrScGa after structural relaxation, as listed in Alexandria.

a b c (Å): 5.0612 5.0612 5.0612
angles (deg): 60.00 60.00 60.00
Atoms (fractional coordinates):
Li1 0.0000 0.0000 0.0000
Pr1 0.7500 0.7500 0.7500
Sc1 0.2500 0.2500 0.2500
Ga1 0.5000 0.5000 0.5000

Results
The value obtained for the energy of formation from the pure elements is -0.29 eV/atom. The calculation puts the density at 4.76 Mg/m³. As for the total energy: -4.30 eV per atom.

---

No. 17
First-principles (PBE) data for LiPrSc2Ga4 after structural relaxation, as listed in Alexandria.

a b c (Å): 8.7400 8.7400 8.7400
angles (deg): 31.70 31.70 31.70
Atoms (fractional coordinates):
Li1 0.0000 0.0000 0.0000
Pr1 0.5000 0.5000 0.5000
Sc1 0.2581 0.2581 0.2581
Sc2 0.7419 0.7419 0.7419
Ga1 0.1148 0.1148 0.1148
Ga2 0.3712 0.3712 0.3712
Ga3 0.6288 0.6288 0.6288
Ga4 0.8852 0.8852 0.8852

Results
The value obtained for the energy of formation from the pure elements is -0.47 eV/atom. The calculation puts the density at 5.24 Mg/m³. As for the total energy: -4.40 eV per atom.

---

No. 18
First-principles (PBE) data for LiPr2GaSe5 after structural relaxation, as listed in Alexandria.

a b c (Å): 9.2540 9.2540 11.9808
angles (deg): 90.00 90.00 154.71
Atoms (fractional coordinates):
Li1 0.2138 0.7862 0.5000
Li2 0.7862 0.2138 0.0000
Pr1 0.1207 0.8793 0.1621
Pr2 0.1327 0.8673 0.7846
Pr3 0.8673 0.1327 0.2846
Pr4 0.8793 0.1207 0.6621
Ga1 0.4314 0.5686 0.9333
Ga2 0.5686 0.4314 0.4333
Se1 0.0436 0.9564 0.5455
Se2 0.2910 0.7090 0.1470
Se3 0.3149 0.6851 0.8317
Se4 0.3565 0.6435 0.4783
Se5 0.4996 0.5004 0.2582
Se6 0.5004 0.4996 0.7582
Se7 0.6435 0.3565 0.9783
Se8 0.6851 0.3149 0.3317
Se9 0.7090 0.2910 0.6470
Se10 0.9564 0.0436 0.0455

Results
The calculation puts the density at 5.71 Mg/m³. As for the total energy: -4.98 eV per atom.

---

No. 19
First-principles (PBE) data for Li2PrGa2Si2 after structural relaxation, as listed in Alexandria.

a b c (Å): 8.3366 8.3366 8.3366
angles (deg): 29.72 29.72 29.72
Atoms (fractional coordinates):
Li1 0.1434 0.1434 0.1434
Li2 0.8566 0.8566 0.8566
Pr1 0.0000 0.0000 0.0000
Ga1 0.4398 0.4398 0.4398
Ga2 0.5602 0.5602 0.5602
Si1 0.2545 0.2545 0.2545
Si2 0.7455 0.7455 0.7455

Results
The calculation puts the density at 4.61 Mg/m³. As for the total energy: -4.03 eV per atom.

---

No. 20
First-principles (PBE) data for Li2Pr2SmGa2 after structural relaxation, as listed in Alexandria.

a b c (Å): 9.3662 9.3662 9.3662
angles (deg): 29.05 29.05 29.05
Atoms (fractional coordinates):
Li1 0.1087 0.1087 0.1087
Li2 0.8913 0.8913 0.8913
Pr1 0.3740 0.3740 0.3740
Pr2 0.6260 0.6260 0.6260
Sm1 0.5000 0.5000 0.5000
Ga1 0.2342 0.2342 0.2342
Ga2 0.7658 0.7658 0.7658

Results
The value obtained for the energy of formation from the pure elements is -0.29 eV/atom. The calculation puts the density at 5.67 Mg/m³. As for the total energy: -3.74 eV per atom.

---

No. 21
First-principles (PBE) data for Li2PrSm2Ga2 after structural relaxation, as listed in Alexandria.

a b c (Å): 9.3055 9.3055 9.3055
angles (deg): 29.30 29.30 29.30
Atoms (fractional coordinates):
Li1 0.1006 0.1006 0.1006
Li2 0.8994 0.8994 0.8994
Pr1 0.5000 0.5000 0.5000
Sm1 0.3730 0.3730 0.3730
Sm2 0.6270 0.6270 0.6270
Ga1 0.2400 0.2400 0.2400
Ga2 0.7600 0.7600 0.7600

Results
The value obtained for the energy of formation from the pure elements is -0.29 eV/atom. The calculation puts the density at 5.78 Mg/m³. As for the total energy: -3.73 eV per atom.

---

No. 22
First-principles (PBE) data for LiPrSmGa after structural relaxation, as listed in Alexandria.

a b c (Å): 5.2503 5.2503 5.2503
angles (deg): 60.00 60.00 60.00
Atoms (fractional coordinates):
Li1 0.0000 0.0000 0.0000
Pr1 0.2500 0.2500 0.2500
Sm1 0.7500 0.7500 0.7500
Ga1 0.5000 0.5000 0.5000

Results
The value obtained for the energy of formation from the pure elements is -0.29 eV/atom. The calculation puts the density at 5.97 Mg/m³. As for the total energy: -3.90 eV per atom.

---

No. 23
First-principles (PBE) data for Li2PrGa2Sn2 after structural relaxation, as listed in Alexandria.

a b c (Å): 8.7150 8.7150 8.7150
angles (deg): 30.98 30.98 30.98
Atoms (fractional coordinates):
Li1 0.1403 0.1403 0.1403
Li2 0.8597 0.8597 0.8597
Pr1 0.0000 0.0000 0.0000
Ga1 0.4455 0.4455 0.4455
Ga2 0.5545 0.5545 0.5545
Sn1 0.2567 0.2567 0.2567
Sn2 0.7433 0.7433 0.7433

Results
The value obtained for the energy of formation from the pure elements is -0.39 eV/atom. The calculation puts the density at 5.67 Mg/m³. As for the total energy: -3.63 eV per atom.

---

No. 24
First-principles (PBE) data for LiPrGaSn after structural relaxation, as listed in Alexandria.

a b c (Å): 5.1581 5.1581 5.1581
angles (deg): 60.00 60.00 60.00
Atoms (fractional coordinates):
Li1 0.0000 0.0000 0.0000
Pr1 0.5000 0.5000 0.5000
Ga1 0.7500 0.7500 0.7500
Sn1 0.2500 0.2500 0.2500

Results
The value obtained for the energy of formation from the pure elements is -0.42 eV/atom. The calculation puts the density at 5.75 Mg/m³. As for the total energy: -3.86 eV per atom.

---

No. 25
First-principles (PBE) data for LiPrThGa after structural relaxation, as listed in Alexandria.

a b c (Å): 5.2461 5.2461 5.2461
angles (deg): 60.00 60.00 60.00
Atoms (fractional coordinates):
Li1 0.0000 0.0000 0.0000
Pr1 0.7500 0.7500 0.7500
Th1 0.2500 0.2500 0.2500
Ga1 0.5000 0.5000 0.5000

Results
The value obtained for the energy of formation from the pure elements is -0.18 eV/atom. The calculation puts the density at 7.31 Mg/m³. As for the total energy: -4.47 eV per atom.